First-principles (PBE) data for an optimized crystal structure of Pu2ThSc4, as listed in Alexandria via LeMat-Bulk.

## Properties
- Energy: -60.462 eV per formula unit
- Formation energy from the elements: 0.135 eV/atom

```
data_Pu2ThSc4
_chemical_formula_sum 'Pu4 Th2 Sc8'
_symmetry_space_group_name_H-M 'C 1 2/m 1'
_symmetry_Int_Tables_number 12
_cell_length_a 11.156
_cell_length_b 3.522
_cell_length_c 8.641
_cell_angle_alpha 90.00
_cell_angle_beta 93.42
_cell_angle_gamma 90.00
loop_
_symmetry_equiv_pos_as_xyz
'x,y,z'
'-x,-y,-z'
'-x,y,-z'
'x,-y,z'
'x+1/2,y+1/2,z'
'-x+1/2,-y+1/2,-z'
'-x+1/2,y+1/2,-z'
'x+1/2,-y+1/2,z'
loop_
_atom_site_label
_atom_site_type_symbol
_atom_site_fract_x
_atom_site_fract_y
_atom_site_fract_z
Pu1 Pu 0.189 0.000 0.463
Th1 Th 0.000 0.000 0.000
Sc1 Sc 0.046 0.500 0.686
Sc2 Sc 0.229 0.500 0.161
```



First-principles (PBE) data for an optimized crystal structure of Pu2Th2Sc15, as listed in Alexandria via LeMat-Bulk.

## Properties
- Energy: -133.465 eV per formula unit
- Formation energy from the elements: 0.264 eV/atom

```
data_Pu2Th2Sc15
_chemical_formula_sum 'Pu6 Th6 Sc45'
_symmetry_space_group_name_H-M 'R -3 m'
_symmetry_Int_Tables_number 166
_symmetry_space_group_name_Hall '-R 3 2"'
_cell_length_a 10.4456
_cell_length_b 10.4456
_cell_length_c 15.9454
_cell_angle_alpha 90.00
_cell_angle_beta 90.00
_cell_angle_gamma 120.00
loop_
_atom_site_label
_atom_site_type_symbol
_atom_site_fract_x
_atom_site_fract_y
_atom_site_fract_z
Pu1 Pu 0.0000 0.0000 0.1037
Th1 Th 0.0000 0.0000 0.3302
Sc1 Sc 0.0000 0.3024 0.0000
Sc2 Sc 0.0000 0.5000 0.5000
Sc3 Sc 0.0114 0.5057 0.1424
```



> formation energy from the elements of number 1 (Pu2ThSc4)?

0.135 eV/atom



> formation energy from the elements of number 1 (Pu2ThSc4)?

0.135 eV/atom



Copy entry 1 word for word.
First-principles (PBE) data for an optimized crystal structure of Pu2ThSc4, as listed in Alexandria via LeMat-Bulk.

## Properties
- Energy: -60.462 eV per formula unit
- Formation energy from the elements: 0.135 eV/atom

```
data_Pu2ThSc4
_chemical_formula_sum 'Pu4 Th2 Sc8'
_symmetry_space_group_name_H-M 'C 1 2/m 1'
_symmetry_Int_Tables_number 12
_cell_length_a 11.156
_cell_length_b 3.522
_cell_length_c 8.641
_cell_angle_alpha 90.00
_cell_angle_beta 93.42
_cell_angle_gamma 90.00
loop_
_symmetry_equiv_pos_as_xyz
'x,y,z'
'-x,-y,-z'
'-x,y,-z'
'x,-y,z'
'x+1/2,y+1/2,z'
'-x+1/2,-y+1/2,-z'
'-x+1/2,y+1/2,-z'
'x+1/2,-y+1/2,z'
loop_
_atom_site_label
_atom_site_type_symbol
_atom_site_fract_x
_atom_site_fract_y
_atom_site_fract_z
Pu1 Pu 0.189 0.000 0.463
Th1 Th 0.000 0.000 0.000
Sc1 Sc 0.046 0.500 0.686
Sc2 Sc 0.229 0.500 0.161
```